DFT (GGA-PBEsol) results for crystalline Be3GaTe at its relaxed geometry.

Unit cell a=4.3533 b=4.3533 c=4.3533 alpha=90.00 beta=90.00 gamma=90.00
Closest atoms and distances in Å follow each position.
Fractional coordinates of all 5 atoms:
Be 0.5000 0.0000 0.0000  2 Ga 2.18
Be 0.0000 0.0000 0.5000  2 Ga 2.18
Be 0.0000 0.5000 0.0000  2 Ga 2.18
Te 0.5000 0.5000 0.5000  12 Be 3.08
Ga 0.0000 0.0000 0.0000  6 Be 2.18

V ... 16.500 A^3/atom
Final energy ... -3.013 eV per atom
Raw formation energy ... 0.760 eV/atom
SG ... Pm-3m, No. 221